Entry 1:
PBE with a Hubbard U K2Al3NiF12, optimized geometry; SG = R-3m (166); magnetization = 1.4 μB/f.u.; crystal system = trigonal; VASP energy = -93.7 eV for the cell shown
1.0
3.5397 2.0436 5.8387
-3.5397 2.0436 5.8387
0.0000 -4.0873 5.8387
K Al Ni F
2 3 1 12
direct
0.1327 0.1327 0.1327
0.8673 0.8673 0.8673
0.0000 0.5000 0.5000
0.5000 0.0000 0.5000
0.5000 0.5000 0.0000
0.5000 0.5000 0.5000
0.1294 0.5885 0.5885
0.1995 0.1995 0.5764
0.1995 0.5764 0.1995
0.4115 0.4115 0.8706
0.4115 0.8706 0.4115
0.4236 0.8005 0.8005
0.5764 0.1995 0.1995
0.5885 0.1294 0.5885
0.5885 0.5885 0.1294
0.8005 0.4236 0.8005
0.8005 0.8005 0.4236
0.8706 0.4115 0.4115

=====

Entry 2:
PBE with a Hubbard U KAlNiF6, optimized geometry; SG = Imma (74); magnetization = 2.0 μB/f.u.; crystal system = orthorhombic; VASP energy = -90.8 eV for the cell shown
1.0
-3.5462 3.5583 5.0244
3.5462 -3.5583 5.0244
3.5462 3.5583 -5.0244
K Al Ni F
2 2 2 12
direct
0.3842 0.1342 0.2500
0.6158 0.8658 0.7500
0.0000 0.0000 0.5000
0.0000 0.5000 0.0000
0.0000 0.5000 0.5000
0.5000 0.5000 0.0000
0.0456 0.7956 0.2500
0.0584 0.4126 0.2179
0.0584 0.8404 0.6458
0.3054 0.1596 0.7179
0.3054 0.5874 0.1458
0.3402 0.5902 0.7500
0.6598 0.4098 0.2500
0.6946 0.4126 0.8542
0.6946 0.8404 0.2821
0.9416 0.1596 0.3542
0.9416 0.5874 0.7821
0.9544 0.2044 0.7500

=====

Entry 3:
PBE with a Hubbard U K2AlNi3F12, optimized geometry; SG = R-3m (166); magnetization = 5.0 μB/f.u.; crystal system = trigonal; VASP energy = -82.2 eV for the cell shown
1.0
3.5465 2.0476 5.8977
-3.5465 2.0476 5.8977
0.0000 -4.0952 5.8977
K Al Ni F
2 1 3 12
direct
0.1278 0.1278 0.1278
0.8722 0.8722 0.8722
0.5000 0.5000 0.5000
0.0000 0.5000 0.5000
0.5000 0.0000 0.5000
0.5000 0.5000 0.0000
0.1712 0.1712 0.5699
0.1712 0.5699 0.1712
0.1964 0.5663 0.5663
0.4301 0.8288 0.8288
0.4337 0.4337 0.8036
0.4337 0.8036 0.4337
0.5663 0.1964 0.5663
0.5663 0.5663 0.1964
0.5699 0.1712 0.1712
0.8036 0.4337 0.4337
0.8288 0.4301 0.8288
0.8288 0.8288 0.4301

=====

Copy entry 2 word for word.
PBE with a Hubbard U KAlNiF6, optimized geometry; SG = Imma (74); magnetization = 2.0 μB/f.u.; crystal system = orthorhombic; VASP energy = -90.8 eV for the cell shown
1.0
-3.5462 3.5583 5.0244
3.5462 -3.5583 5.0244
3.5462 3.5583 -5.0244
K Al Ni F
2 2 2 12
direct
0.3842 0.1342 0.2500
0.6158 0.8658 0.7500
0.0000 0.0000 0.5000
0.0000 0.5000 0.0000
0.0000 0.5000 0.5000
0.5000 0.5000 0.0000
0.0456 0.7956 0.2500
0.0584 0.4126 0.2179
0.0584 0.8404 0.6458
0.3054 0.1596 0.7179
0.3054 0.5874 0.1458
0.3402 0.5902 0.7500
0.6598 0.4098 0.2500
0.6946 0.4126 0.8542
0.6946 0.8404 0.2821
0.9416 0.1596 0.3542
0.9416 0.5874 0.7821
0.9544 0.2044 0.7500

=====

Q: Among the records above, which one has the highest VASP energy?
A: K2AlNi3F12

=====

Q: Which value of VASP energy does entry 1 give?
A: -93.7 eV for the cell shown

=====

Q: Which value of magnetization does entry 1 give?
A: 1.4 μB/f.u.